The following is a PBE calculation of an optimized crystal structure of Y2MnAl, from Alexandria via LeMat-Bulk.

Unit cell a=3.3487 b=3.3487 c=8.2518 alpha=90.00 beta=90.00 gamma=90.00
Closest atoms and distances in Å follow each position.
Element x y z (fractional)
Y 0.0000 0.0000 0.0000  4 Mn 3.05, 1 Al 3.20, 4 Y 3.35
Y 0.5000 0.5000 0.3596  4 Al 3.15, 4 Y 3.35, 1 Mn 3.35
Mn 0.5000 0.5000 0.7661  4 Al 2.69
Al 0.0000 0.0000 0.6122  4 Mn 2.69

Output
calculated formation energy	-43	meV/atom
VASP energy	-6.503	eV/atom
total magnetization	2.94	μB/f.u.